No. 1
The following is a DFT calculation (GGA-PBE) of a relaxed YFeC crystal.

abc: 4.071 3.413 3.413
angles: 120.00 90.00 90.00
Site moments in Bohr magnetons follow the coordinates.
Sites, in units of the cell vectors:
C (0.167, 0.000, 0.000)  0.00
Y (0.667, 0.667, 0.333)  0.00
Fe (0.167, 0.333, 0.667)  0.12

Properties
Space-group type = P-6m2

***

No. 2
The following is a DFT calculation (GGA-PBE) of a relaxed TiAlAg crystal.

abc: 8.549 2.961 5.025
angles: 107.13 67.66 121.32
Sites, in units of the cell vectors:
Al (0.150, 0.336, 0.727)
Al (0.696, 0.906, 0.227)
Ti (0.374, 0.922, 0.226)
Ti (0.472, 0.319, 0.728)
Ag (0.030, 0.901, 0.217)
Ag (0.816, 0.340, 0.738)

Properties
Space-group type = C2/m

***

ΔE_f (computed, meV per atom): -12 -167
Total DFT energy (no corrections) (computed, eV/atom): -8.062 -4.997